VASP calculation (PBE) on a relaxed structure of Ba2Ga7Si.

Cell lengths 4.6450, 4.6450, 10.6574 Å; angles 90.00, 90.00, 90.00 degrees
Closest atoms and distances in Å follow each position.
Element x y z (fractional)
Ga (0.5000, 0.5000, 0.5000)  4 Ga 2.69
Ga (0.0000, 0.0000, 0.5000)  4 Ga 2.69
Ga (0.0000, 0.5000, 0.6279)  5 Ga 2.65-2.69
Ba (0.5000, 0.0000, 0.7517)  2 Si 3.52, 14 Ga 3.52-3.55
Ga (0.5000, 0.0000, 0.1234)  3 Ga 2.65-2.67, 2 Si 2.67
Ba (0.0000, 0.5000, 0.2483)  2 Si 3.52, 14 Ga 3.52-3.55
Ga (0.0000, 0.0000, 0.0000)  4 Ga 2.67
Ga (0.0000, 0.5000, 0.8766)  3 Ga 2.65-2.67, 2 Si 2.67
Ga (0.5000, 0.0000, 0.3721)  5 Ga 2.65-2.69
Si (0.5000, 0.5000, 0.0000)  4 Ga 2.67

Computed properties:
**Size of the total moment**: 0.00 μB/cell
**Energy relative to the elements, uncorrected**: -0.38 eV per atom
**SG**: No. 115